[1]
This record from Alexandria via LeMat-Bulk describes a geometry-optimized CuI2 structure. The functional is PBE-GGA.

Spin magnetization   0.0 μB per formula unit
Space group   P4/mmm (123)
Final energy   -2.303 eV per atom

Unit cell a=5.2295 b=5.2295 c=4.8288 alpha=90.00 beta=90.00 gamma=90.00
Closest atoms and distances in Å follow each position.
Fractional coordinates of all 3 atoms:
I (0.0000, 0.5000, 0.0000)  2 Cu 2.61
I (0.5000, 0.0000, 0.0000)  2 Cu 2.61
Cu (0.0000, 0.0000, 0.0000)  4 I 2.61

***

[2]
This record from Alexandria via LeMat-Bulk describes a geometry-optimized In3BrF structure. The functional is PBE-GGA.

Polymorph energy (0 for the lowest one)   542 meV/atom
Spin magnetization   0.0 μB per formula unit
Space group   Pm-3m (221)

Unit cell a=6.1020 b=6.1020 c=6.1020 alpha=90.00 beta=90.00 gamma=90.00
Closest atoms and distances in Å follow each position.
Fractional coordinates of all 5 atoms:
F (0.5000, 0.5000, 0.5000)  12 In 4.31
In (0.0000, 0.0000, 0.5000)  2 Br 3.05
In (0.5000, 0.0000, 0.0000)  2 Br 3.05
In (0.0000, 0.5000, 0.0000)  2 Br 3.05
Br (0.0000, 0.0000, 0.0000)  6 In 3.05

***

[3]
This record from Alexandria via LeMat-Bulk describes a geometry-optimized GdInNiRh structure. The functional is PBE-GGA.

Spin magnetization   7.1 μB per formula unit
Space group   F-43m (216)
ΔH_f (0 K)   -0.484 eV per atom

Unit cell a=4.7019 b=4.7019 c=4.7019 alpha=60.00 beta=60.00 gamma=60.00
Closest atoms and distances in Å follow each position.
Fractional coordinates of all 4 atoms:
Ni (0.2500, 0.2500, 0.2500)  4 Gd 2.88, 4 In 2.88
Rh (0.7500, 0.7500, 0.7500)  4 Gd 2.88, 4 In 2.88
In (0.5000, 0.5000, 0.5000)  4 Rh 2.88, 4 Ni 2.88
Gd (0.0000, 0.0000, 0.0000)  4 Rh 2.88, 4 Ni 2.88

***

[4]
This record from Alexandria via LeMat-Bulk describes a geometry-optimized Zr3TaPd structure. The functional is PBE-GGA.

Polymorph energy (0 for the lowest one)   0 meV/atom
Spin magnetization   1.2 μB per formula unit
Space group   Pm-3m (221)
ΔH_f (0 K)   0.809 eV per atom

Unit cell a=4.9959 b=4.9959 c=4.9959 alpha=90.00 beta=90.00 gamma=90.00
Closest atoms and distances in Å follow each position.
Fractional coordinates of all 5 atoms:
Zr (0.0000, 0.5000, 0.0000)  2 Pd 2.50
Zr (0.0000, 0.0000, 0.5000)  2 Pd 2.50
Zr (0.5000, 0.0000, 0.0000)  2 Pd 2.50
Ta (0.5000, 0.5000, 0.5000)  12 Zr 3.53
Pd (0.0000, 0.0000, 0.0000)  6 Zr 2.50

***

[5]
This record from Alexandria via LeMat-Bulk describes a geometry-optimized AsIrBr2 structure. The functional is PBE-GGA.

Polymorph energy (0 for the lowest one)   1029 meV/atom
Spin magnetization   0.0 μB per formula unit
Space group   Cmmm (65)

Unit cell a=3.3671 b=3.3671 c=9.3739 alpha=90.00 beta=90.00 gamma=123.99
Closest atoms and distances in Å follow each position.
Fractional coordinates of all 4 atoms:
Br (0.0000, 0.0000, 0.4587)  2 Ir 2.52
Br (0.0000, 0.0000, 0.0413)  2 Ir 2.52
As (0.5000, 0.5000, 0.7500)  4 Br 3.16, 6 As 3.16-3.37
Ir (0.5000, 0.5000, 0.2500)  4 Br 2.52

***

[6]
This record from Alexandria via LeMat-Bulk describes a geometry-optimized Ba3TbNd3S8 structure. The functional is PBE-GGA.

Spin magnetization   0.0 μB per formula unit
Space group   R-3m (166)
Final energy   -5.906 eV per atom

Unit cell a=8.3279 b=8.3223 c=8.7335 alpha=118.43 beta=90.02 gamma=119.99
Closest atoms and distances in Å follow each position.
Fractional coordinates of all 15 atoms:
S (0.2536, 0.0213, 0.2888)  1 Tb 2.80, 2 Nd 2.88
S (0.7404, 0.4805, 0.7209)  3 Nd 2.89, 3 Ba 3.15
S (0.2596, 0.5195, 0.2791)  3 Nd 2.89, 3 Ba 3.15
S (0.7675, 0.0214, 0.2888)  1 Tb 2.80, 2 Nd 2.88
S (0.7464, 0.9787, 0.7112)  1 Tb 2.80, 2 Nd 2.88
S (0.7676, 0.5353, 0.2890)  1 Tb 2.80, 2 Nd 2.88
S (0.2324, 0.4647, 0.7110)  1 Tb 2.80, 2 Nd 2.88
S (0.2325, 0.9786, 0.7112)  1 Tb 2.80, 2 Nd 2.88
Tb (0.0000, 0.0000, 0.5000)  6 S 2.80
Nd (0.5000, 0.5000, 0.5000)  6 S 2.88-2.89
Nd (0.5000, 0.0000, 0.5000)  6 S 2.88-2.89
Nd (0.0000, 0.5000, 0.5000)  6 S 2.88-2.89
Ba (0.0000, 0.0000, 0.0000)  6 S 3.15-3.17
Ba (0.0000, 0.5000, 0.0000)  6 S 3.15-3.17
Ba (0.5000, 0.5000, 0.0000)  6 S 3.15-3.17

***

[7]
This record from Alexandria via LeMat-Bulk describes a geometry-optimized CaTc2H structure. The functional is PBE-GGA.

Polymorph energy (0 for the lowest one)   0 meV/atom
Spin magnetization   0.0 μB per formula unit
Space group   I4_1/amd (141)

Unit cell a=5.4592 b=5.4592 c=5.7456 alpha=61.64 beta=61.64 gamma=90.00
Closest atoms and distances in Å follow each position.
Fractional coordinates of all 8 atoms:
Ca (0.0000, 0.0000, 0.0000)  12 Tc 3.23-3.47, 4 H 3.46, 4 Ca 3.46
Ca (0.7500, 0.2500, 0.5000)  12 Tc 3.23-3.47, 4 H 3.46, 4 Ca 3.46
Tc (0.8750, 0.6250, 0.7500)  2 H 1.73
Tc (0.3750, 0.6250, 0.2500)  2 H 1.73
Tc (0.3750, 0.1250, 0.2500)  2 H 1.73
Tc (0.3750, 0.6250, 0.7500)  2 H 1.73
H (0.5000, 0.5000, 0.0000)  4 Tc 1.73
H (0.2500, 0.7500, 0.5000)  4 Tc 1.73

***

[8]
This record from Alexandria via LeMat-Bulk describes a geometry-optimized EuPuSbAu structure. The functional is PBE-GGA.

Spin magnetization   1.1 μB per formula unit
Space group   F-43m (216)
Final energy   -8.654 eV per atom

Unit cell a=5.3703 b=5.3703 c=5.3703 alpha=60.00 beta=60.00 gamma=60.00
Closest atoms and distances in Å follow each position.
Fractional coordinates of all 4 atoms:
Au (0.0000, 0.0000, 0.0000)  4 Eu 3.29, 4 Pu 3.29
Sb (0.5000, 0.5000, 0.5000)  4 Pu 3.29, 4 Eu 3.29
Pu (0.2500, 0.2500, 0.2500)  4 Sb 3.29, 4 Au 3.29
Eu (0.7500, 0.7500, 0.7500)  4 Sb 3.29, 4 Au 3.29